The following is a GGA-PBE calculation of Ba4ReIr after structural relaxation, from the Alexandria database.

- Uncorrected energy: -3.180 eV per atom
- Volume: 207 Å³/f.u.

Cell lengths 6.644, 6.644, 6.644 Å; angles 60.00, 60.00, 60.00 degrees
Each line ends with the local moment (μB).
Fractional coordinates of all 6 atoms:
Ba1 0.874 0.375 0.375  -0.10
Ba2 0.375 0.375 0.874  -0.10
Ba3 0.375 0.874 0.375  -0.10
Ba4 0.375 0.375 0.375  -0.10
Re1 0.000 0.000 0.000  2.64
Ir1 0.750 0.750 0.750  0.44